Entry from Alexandria: a relaxed AlCoOs2 crystal (GGA-PBE).

Space-group type = No. 119
D(E_F) = 8.985 states/eV per cell
Energy of formation from the pure elements = -0.0593 eV per atom

CIF file:
```
data_AlCoOs2
_cell_length_a 3.8039
_cell_length_b 3.8039
_cell_length_c 7.3412
_cell_angle_alpha 90.00
_cell_angle_beta 90.00
_cell_angle_gamma 90.00
_symmetry_space_group_name_H-M 'P 1'
_symmetry_Int_Tables_number 1
loop_
_symmetry_equiv_pos_as_xyz
'x,y,z'
loop_
_atom_site_label
_atom_site_fract_x
_atom_site_fract_y
_atom_site_fract_z
Al1 0.0000 0.0000 0.0000
Al2 0.5000 0.5000 0.5000
Co1 0.0000 0.5000 0.7500
Co2 0.5000 0.0000 0.2500
Os1 0.0000 0.0000 0.5000
Os2 0.0000 0.5000 0.2500
Os3 0.5000 0.0000 0.7500
Os4 0.5000 0.5000 0.0000
```